Record 1
VASP calculation (SCAN) on LiTcPb2 at its PBEsol-relaxed geometry.

Output
Crystal system: orthorhombic
Formation energy from the elements, meV per atom: 424.7
Energy above the lowest structure with this stoichiometry, meV/atom: 206.1
Mass density, g cm⁻³: 10.638

Cell: 3.4223 4.3329 5.4672 Å, 90.00 90.00 90.00°
Closest atoms and distances in Å follow each position.
Space group Pmmm (No. 47)
One atom of each set of equivalent atoms:
1 Li 0.0000 0.0000 0.0000 (multiplicity 1)  4 Pb 2.76
2 Tc 0.5000 0.0000 0.5000 (multiplicity 1)  4 Pb 2.76
3 Pb 0.0000 0.5000 0.5000 (multiplicity 1)  4 Tc 2.76
4 Pb 0.5000 0.5000 0.0000 (multiplicity 1)  4 Li 2.76

Record 2
VASP calculation (SCAN) on SrIn3Au3 at its PBEsol-relaxed geometry.

Output
Crystal system: orthorhombic
Formation energy from the elements, meV per atom: -618.0
Mass density, g cm⁻³: 10.665

Cell: 4.5224 7.7551 9.0829 Å, 90.00 90.00 90.00°
Closest atoms and distances in Å follow each position.
Space group Pmmn (No. 59, origin choice 2)
One atom of each set of equivalent atoms:
1 Sr 0.2500 0.2500 0.2282 (multiplicity 2)  8 Au 3.36-3.67, 4 In 3.55
2 In 0.2500 0.0526 0.6157 (multiplicity 4)  4 Au 2.70-2.80
3 In 0.2500 0.7500 0.1327 (multiplicity 2)  7 Au 2.89-2.92
4 Au 0.2500 0.0242 0.9122 (multiplicity 4)  4 In 2.70-2.92, 2 Au 2.79
5 Au 0.2500 0.7500 0.4538 (multiplicity 2)  7 In 2.77-2.92

Record 3
VASP calculation (SCAN) on LaRu3 at its PBEsol-relaxed geometry.

Output
Crystal system: cubic
Formation energy from the elements, meV per atom: 441.0
Mass density, g cm⁻³: 10.846

Cell: 6.4693 6.4693 6.4693 Å, 90.00 90.00 90.00°
Closest atoms and distances in Å follow each position.
Space group Fm-3m (No. 225)
One atom of each set of equivalent atoms:
1 La 0.0000 0.0000 0.0000 (multiplicity 4)  8 Ru 2.80
2 Ru 0.0000 0.0000 0.5000 (multiplicity 4)  8 Ru 2.80
3 Ru 0.2500 0.2500 0.2500 (multiplicity 8)  4 Ru 2.80, 4 La 2.80

Record 4
VASP calculation (SCAN) on ScFeBr at its PBEsol-relaxed geometry.

Output
Crystal system: hexagonal
Mass density, g cm⁻³: 6.546
Formation energy (no corrections), eV/atom: 0.06

Cell: 4.0320 4.0320 3.2559 Å, 90.00 90.00 120.00°
Closest atoms and distances in Å follow each position.
Space group P-6m2 (No. 187)
One atom of each set of equivalent atoms:
1 Sc 0.0000 0.0000 0.0000 (multiplicity 1)  6 Fe 2.84, 6 Br 2.84
2 Fe 0.3333 0.6667 0.5000 (multiplicity 1)  3 Br 2.33
3 Br 0.6667 0.3333 0.5000 (multiplicity 1)  3 Fe 2.33